# 1
DFT (PBE) results for a geometry-optimized Re2POs structure.

Cell and atoms, written as CIF:
```
data_Re2POs
_space_group_name_H-M_alt 'P 1'
_space_group_IT_number 1
_space_group_name_Hall 'P 1'
_cell_length_a 8.403
_cell_length_b 8.403
_cell_length_c 8.403
_cell_angle_alpha 19.25
_cell_angle_beta 19.25
_cell_angle_gamma 19.25
loop_
_atom_site_label
_atom_site_fract_x
_atom_site_fract_y
_atom_site_fract_z
_atom_site_occupancy
Re1 0.000 0.000 0.000 1
Re2 0.244 0.244 0.244 1
P1 0.745 0.745 0.745 1
Os1 0.488 0.488 0.488 1
```

VASP energy = -10.339 eV/atom
E_form = 45 meV per atom
M_tot = 0.00 μB/f.u.


# 2
DFT (PBE) results for a geometry-optimized NdEuAs structure.

Cell and atoms, written as CIF:
```
data_NdEuAs
_space_group_name_H-M_alt 'P 1'
_space_group_IT_number 1
_space_group_name_Hall 'P 1'
_cell_length_a 6.348
_cell_length_b 6.348
_cell_length_c 6.348
_cell_angle_alpha 144.03
_cell_angle_beta 144.03
_cell_angle_gamma 51.78
loop_
_atom_site_label
_atom_site_fract_x
_atom_site_fract_y
_atom_site_fract_z
_atom_site_occupancy
Nd1 0.000 0.000 0.000 1
Eu1 0.721 0.721 0.000 1
As1 0.381 0.381 0.000 1
```

VASP energy = -7.290 eV/atom
E_form = -726 meV per atom
M_tot = 8.77 μB/f.u.
Distance to the lowest polymorph of the same formula = 105 meV per atom


# 3
DFT (PBE) results for a geometry-optimized CdP2Os structure.

Cell and atoms, written as CIF:
```
data_CdP2Os
_space_group_name_H-M_alt 'P 1'
_space_group_IT_number 1
_space_group_name_Hall 'P 1'
_cell_length_a 4.319
_cell_length_b 4.319
_cell_length_c 6.460
_cell_angle_alpha 110.66
_cell_angle_beta 110.66
_cell_angle_gamma 40.68
loop_
_atom_site_label
_atom_site_fract_x
_atom_site_fract_y
_atom_site_fract_z
_atom_site_occupancy
Cd1 0.000 0.000 0.000 1
P1 0.195 0.195 0.756 1
P2 0.322 0.322 0.386 1
Os1 0.626 0.626 0.449 1
```

VASP energy = -5.741 eV/atom
E_form = 0 meV per atom
M_tot = 0.00 μB/f.u.
Distance to the lowest polymorph of the same formula = 0 meV per atom


# 4
DFT (PBE) results for a geometry-optimized Ag2OsRuF structure.

Cell and atoms, written as CIF:
```
data_Ag2OsRuF
_space_group_name_H-M_alt 'P 1'
_space_group_IT_number 1
_space_group_name_Hall 'P 1'
_cell_length_a 5.167
_cell_length_b 5.167
_cell_length_c 4.542
_cell_angle_alpha 90.00
_cell_angle_beta 90.00
_cell_angle_gamma 90.00
loop_
_atom_site_label
_atom_site_fract_x
_atom_site_fract_y
_atom_site_fract_z
_atom_site_occupancy
Ag1 0.000 0.500 0.000 1
Ag2 0.500 0.000 0.000 1
Os1 0.000 0.000 0.500 1
Ru1 0.000 0.000 0.000 1
F1 0.500 0.500 0.500 1
```

VASP energy = -4.236 eV/atom
M_tot = 2.35 μB/f.u.
Distance to the lowest polymorph of the same formula = 117 meV per atom
ΔE_f (raw) = 31.82 kcal/mol of atoms


# 5
DFT (PBE) results for a geometry-optimized Ca2BeSi structure.

Cell and atoms, written as CIF:
```
data_Ca2BeSi
_space_group_name_H-M_alt 'P 1'
_space_group_IT_number 1
_space_group_name_Hall 'P 1'
_cell_length_a 8.812
_cell_length_b 8.812
_cell_length_c 8.812
_cell_angle_alpha 24.27
_cell_angle_beta 24.27
_cell_angle_gamma 24.27
loop_
_atom_site_label
_atom_site_fract_x
_atom_site_fract_y
_atom_site_fract_z
_atom_site_occupancy
Ca1 0.250 0.250 0.250 1
Ca2 0.750 0.750 0.750 1
Be1 0.000 0.000 0.000 1
Si1 0.500 0.500 0.500 1
```

VASP energy = -2.913 eV/atom
M_tot = 0.03 μB/f.u.
Distance to the lowest polymorph of the same formula = 585 meV per atom
ΔE_f (raw) = 8.65 kcal/mol of atoms


# 6
DFT (PBE) results for a geometry-optimized SrMn2Co structure.

Cell and atoms, written as CIF:
```
data_SrMn2Co
_space_group_name_H-M_alt 'P 1'
_space_group_IT_number 1
_space_group_name_Hall 'P 1'
_cell_length_a 4.699
_cell_length_b 4.699
_cell_length_c 4.699
_cell_angle_alpha 118.46
_cell_angle_beta 118.46
_cell_angle_gamma 92.69
loop_
_atom_site_label
_atom_site_fract_x
_atom_site_fract_y
_atom_site_fract_z
_atom_site_occupancy
Sr1 0.000 0.000 0.000 1
Mn1 0.500 0.500 0.000 1
Mn2 0.750 0.250 0.500 1
Co1 0.250 0.750 0.500 1
```

VASP energy = -5.975 eV/atom
E_form = 807 meV per atom
M_tot = 8.65 μB/f.u.
Distance to the lowest polymorph of the same formula = 503 meV per atom


# 7
DFT (PBE) results for a geometry-optimized Al2CrHg structure.

Cell and atoms, written as CIF:
```
data_Al2CrHg
_space_group_name_H-M_alt 'P 1'
_space_group_IT_number 1
_space_group_name_Hall 'P 1'
_cell_length_a 4.740
_cell_length_b 4.740
_cell_length_c 3.127
_cell_angle_alpha 90.00
_cell_angle_beta 90.00
_cell_angle_gamma 105.80
loop_
_atom_site_label
_atom_site_fract_x
_atom_site_fract_y
_atom_site_fract_z
_atom_site_occupancy
Al1 0.000 0.500 0.000 1
Al2 0.500 0.000 0.000 1
Cr1 0.000 0.000 0.500 1
Hg1 0.500 0.500 0.500 1
```

VASP energy = -4.168 eV/atom
E_form = 185 meV per atom
M_tot = 2.85 μB/f.u.


# 8
DFT (PBE) results for a geometry-optimized RbTlRhCl6 structure.

Cell and atoms, written as CIF:
```
data_RbTlRhCl6
_space_group_name_H-M_alt 'P 1'
_space_group_IT_number 1
_space_group_name_Hall 'P 1'
_cell_length_a 7.102
_cell_length_b 7.102
_cell_length_c 6.863
_cell_angle_alpha 90.00
_cell_angle_beta 90.00
_cell_angle_gamma 120.00
loop_
_atom_site_label
_atom_site_fract_x
_atom_site_fract_y
_atom_site_fract_z
_atom_site_occupancy
Rb1 0.000 0.000 0.000 1
Tl1 0.333 0.667 0.500 1
Rh1 0.667 0.333 0.500 1
Cl1 0.398 0.062 0.700 1
Cl2 0.398 0.336 0.300 1
Cl3 0.664 0.062 0.300 1
Cl4 0.664 0.602 0.700 1
Cl5 0.938 0.336 0.700 1
Cl6 0.938 0.602 0.300 1
```

VASP energy = -3.373 eV/atom
M_tot = 0.00 μB/f.u.
ΔE_f (raw) = -22.00 kcal/mol of atoms


# 9
DFT (PBE) results for a geometry-optimized ZrIrRuO6 structure.

Cell and atoms, written as CIF:
```
data_ZrIrRuO6
_space_group_name_H-M_alt 'P 1'
_space_group_IT_number 1
_space_group_name_Hall 'P 1'
_cell_length_a 5.127
_cell_length_b 5.127
_cell_length_c 9.059
_cell_angle_alpha 90.00
_cell_angle_beta 90.00
_cell_angle_gamma 120.00
loop_
_atom_site_label
_atom_site_fract_x
_atom_site_fract_y
_atom_site_fract_z
_atom_site_occupancy
Zr1 0.333 0.667 0.250 1
Zr2 0.667 0.333 0.750 1
Ir1 0.333 0.667 0.750 1
Ir2 0.667 0.333 0.250 1
Ru1 0.000 0.000 0.000 1
Ru2 0.000 0.000 0.500 1
O1 0.010 0.330 0.622 1
O2 0.010 0.680 0.878 1
O3 0.320 0.330 0.878 1
O4 0.320 0.990 0.622 1
O5 0.330 0.010 0.122 1
O6 0.330 0.320 0.378 1
O7 0.670 0.680 0.622 1
O8 0.670 0.990 0.878 1
O9 0.680 0.010 0.378 1
O10 0.680 0.670 0.122 1
O11 0.990 0.320 0.122 1
O12 0.990 0.670 0.378 1
```

VASP energy = -7.791 eV/atom
M_tot = 2.43 μB/f.u.
ΔE_f (raw) = -35.07 kcal/mol of atoms


# 10
DFT (PBE) results for a geometry-optimized BiPW2 structure.

Cell and atoms, written as CIF:
```
data_BiPW2
_space_group_name_H-M_alt 'P 1'
_space_group_IT_number 1
_space_group_name_Hall 'P 1'
_cell_length_a 9.297
_cell_length_b 9.297
_cell_length_c 9.297
_cell_angle_alpha 153.12
_cell_angle_beta 153.12
_cell_angle_gamma 38.39
loop_
_atom_site_label
_atom_site_fract_x
_atom_site_fract_y
_atom_site_fract_z
_atom_site_occupancy
Bi1 0.000 0.000 0.000 1
Bi2 0.750 0.250 0.500 1
P1 0.250 0.750 0.500 1
P2 0.500 0.500 0.000 1
W1 0.213 0.625 0.088 1
W2 0.375 0.463 0.588 1
W3 0.537 0.125 0.912 1
W4 0.875 0.787 0.412 1
```

VASP energy = -7.964 eV/atom
E_form = 835 meV per atom
M_tot = 0.00 μB/f.u.
Distance to the lowest polymorph of the same formula = 0 meV per atom


# 11
DFT (PBE) results for a geometry-optimized LaAlZn2Ag structure.

Cell and atoms, written as CIF:
```
data_LaAlZn2Ag
_space_group_name_H-M_alt 'P 1'
_space_group_IT_number 1
_space_group_name_Hall 'P 1'
_cell_length_a 6.091
_cell_length_b 6.091
_cell_length_c 6.091
_cell_angle_alpha 136.86
_cell_angle_beta 136.78
_cell_angle_gamma 62.72
loop_
_atom_site_label
_atom_site_fract_x
_atom_site_fract_y
_atom_site_fract_z
_atom_site_occupancy
La1 0.000 0.000 0.000 1
Al1 0.381 0.381 0.000 1
Zn1 0.620 0.620 0.000 1
Zn2 0.751 0.251 0.500 1
Ag1 0.253 0.753 0.500 1
```

VASP energy = -3.140 eV/atom
E_form = -326 meV per atom
M_tot = 0.00 μB/f.u.


# 12
DFT (PBE) results for a geometry-optimized Sc4CdRh structure.

Cell and atoms, written as CIF:
```
data_Sc4CdRh
_space_group_name_H-M_alt 'P 1'
_space_group_IT_number 1
_space_group_name_Hall 'P 1'
_cell_length_a 4.716
_cell_length_b 4.716
_cell_length_c 8.039
_cell_angle_alpha 107.05
_cell_angle_beta 107.05
_cell_angle_gamma 59.28
loop_
_atom_site_label
_atom_site_fract_x
_atom_site_fract_y
_atom_site_fract_z
_atom_site_occupancy
Sc1 0.117 0.117 0.344 1
Sc2 0.367 0.367 0.099 1
Sc3 0.633 0.633 0.901 1
Sc4 0.883 0.883 0.656 1
Cd1 0.500 0.500 0.500 1
Rh1 0.000 0.000 0.000 1
```

VASP energy = -5.817 eV/atom
E_form = -218 meV per atom
M_tot = 0.00 μB/f.u.
Distance to the lowest polymorph of the same formula = 259 meV per atom